1.
Hf4GaAsN2 | PBE | relaxed

Unit cell a=3.3050 b=3.3050 c=13.0331 alpha=90.00 beta=90.00 gamma=120.00
Space group P-6m2 (No. 187)
Unique sites:
Hf 0.0000 0.0000 0.1456 (multiplicity 2)
Hf 0.6667 0.3333 0.3336 (multiplicity 2)
Ga 0.0000 0.0000 0.5000 (multiplicity 1)
As 0.6667 0.3333 0.0000 (multiplicity 1)
N 0.3333 0.6667 0.2417 (multiplicity 2)

## Properties
Uncorrected energy = -73.713 eV/cell

2.
GaHgAs | PBE | relaxed

Unit cell a=6.536 b=6.536 c=6.536 alpha=90.00 beta=90.00 gamma=90.00
Space group F-43m (No. 216)
Unique sites:
Ga 0.000 0.000 0.000 (multiplicity 4)
Hg 0.250 0.250 0.250 (multiplicity 4)
As 0.250 0.250 0.750 (multiplicity 4)

## Properties
Uncorrected energy = -30.101 eV/cell

3.
HoGaAsO | PBE | relaxed

Unit cell a=4.095 b=6.747 c=5.893 alpha=90.00 beta=90.00 gamma=90.00
Space group Pmc2_1 (No. 26)
Unique sites:
Ho 0.000 0.208 0.000 (multiplicity 2)
Ga 0.500 0.387 0.613 (multiplicity 2)
As 0.000 0.213 0.487 (multiplicity 2)
O 0.500 0.336 0.977 (multiplicity 2)

## Properties
Excess energy over the best structure of this formula in the dataset = 0.245 eV/atom

4.
HoGaAsO | PBE | relaxed

Unit cell a=4.010 b=4.010 c=9.202 alpha=90.00 beta=90.00 gamma=90.00
Space group P4/nmm (No. 129, origin choice 2)
Unique sites:
Ho 0.250 0.250 0.112 (multiplicity 2)
Ga 0.250 0.750 0.500 (multiplicity 2)
As 0.250 0.250 0.693 (multiplicity 2)
O 0.250 0.750 0.000 (multiplicity 2)

## Properties
Excess energy over the best structure of this formula in the dataset = 0.000 eV/atom

5.
HoGaAsO | PBE | relaxed

Unit cell a=4.325 b=4.325 c=9.417 alpha=90.00 beta=90.00 gamma=90.00
Space group P4/nmm (No. 129, origin choice 2)
Unique sites:
Ho 0.250 0.750 0.000 (multiplicity 2)
Ga 0.250 0.250 0.453 (multiplicity 2)
As 0.250 0.250 0.188 (multiplicity 2)
O 0.250 0.750 0.500 (multiplicity 2)

## Properties
Excess energy over the best structure of this formula in the dataset = 0.944 eV/atom

6.
HoGaAsO | PBE | relaxed

Unit cell a=4.479 b=5.040 c=6.314 alpha=90.00 beta=90.00 gamma=90.00
Space group Pmc2_1 (No. 26)
Unique sites:
Ho 0.000 0.227 0.000 (multiplicity 2)
Ga 0.500 0.368 0.339 (multiplicity 2)
As 0.500 0.120 0.692 (multiplicity 2)
O 0.000 0.405 0.316 (multiplicity 2)

## Properties
Excess energy over the best structure of this formula in the dataset = 0.189 eV/atom

7.
Ga2AsIr | PBE | relaxed

Unit cell a=6.388 b=6.388 c=6.388 alpha=90.00 beta=90.00 gamma=90.00
Space group F-43m (No. 216)
Unique sites:
Ga 0.000 0.000 0.000 (multiplicity 4)
Ga 0.250 0.250 0.250 (multiplicity 4)
As 0.000 0.000 0.500 (multiplicity 4)
Ir 0.250 0.250 0.750 (multiplicity 4)

## Properties
Uncorrected energy = -76.757 eV/cell

8.
LiGaAsIr | PBE | relaxed

Unit cell a=6.156 b=6.156 c=6.156 alpha=90.00 beta=90.00 gamma=90.00
Space group F-43m (No. 216)
Unique sites:
Li 0.000 0.000 0.000 (multiplicity 4)
Ga 0.250 0.250 0.750 (multiplicity 4)
As 0.250 0.250 0.250 (multiplicity 4)
Ir 0.000 0.000 0.500 (multiplicity 4)

## Properties
Excess energy over the best structure of this formula in the dataset = 0.000 eV/atom

9.
LiGaAsIr | PBE | relaxed

Unit cell a=6.226 b=6.226 c=6.226 alpha=90.00 beta=90.00 gamma=90.00
Space group F-43m (No. 216)
Unique sites:
Li 0.000 0.000 0.000 (multiplicity 4)
Ga 0.000 0.000 0.500 (multiplicity 4)
As 0.250 0.250 0.750 (multiplicity 4)
Ir 0.250 0.250 0.250 (multiplicity 4)

## Properties
Excess energy over the best structure of this formula in the dataset = 0.305 eV/atom

10.
NaGaAsIr | PBE | relaxed

Unit cell a=6.463 b=6.463 c=6.463 alpha=90.00 beta=90.00 gamma=90.00
Space group F-43m (No. 216)
Unique sites:
Na 0.000 0.000 0.000 (multiplicity 4)
Ga 0.000 0.000 0.500 (multiplicity 4)
As 0.250 0.250 0.750 (multiplicity 4)
Ir 0.250 0.250 0.250 (multiplicity 4)

## Properties
Excess energy over the best structure of this formula in the dataset = 0.343 eV/atom

11.
NaGaAsIr | PBE | relaxed

Unit cell a=6.347 b=6.347 c=6.347 alpha=90.00 beta=90.00 gamma=90.00
Space group F-43m (No. 216)
Unique sites:
Na 0.000 0.000 0.000 (multiplicity 4)
Ga 0.250 0.250 0.750 (multiplicity 4)
As 0.250 0.250 0.250 (multiplicity 4)
Ir 0.000 0.000 0.500 (multiplicity 4)

## Properties
Excess energy over the best structure of this formula in the dataset = 0.000 eV/atom

12.
NaGaAsIr | PBE | relaxed

Unit cell a=6.488 b=6.488 c=6.488 alpha=90.00 beta=90.00 gamma=90.00
Space group F-43m (No. 216)
Unique sites:
Na 0.000 0.000 0.000 (multiplicity 4)
Ga 0.250 0.250 0.750 (multiplicity 4)
As 0.000 0.000 0.500 (multiplicity 4)
Ir 0.250 0.250 0.250 (multiplicity 4)

## Properties
Excess energy over the best structure of this formula in the dataset = 0.385 eV/atom